A plane-wave DFT calculation with PBE with a Hubbard U was carried out for HoVGe2O8 after structural relaxation.

Cell and atoms, written as POSCAR:
```
HoVGe2O8
1.0
-0.659 -3.925 4.080
4.650 3.231 0.651
-4.522 3.462 0.222
O Ho V Ge
8 1 1 2
direct
0.314 0.113 0.799
0.715 0.040 0.675
0.960 0.634 0.675
0.960 0.285 0.325
0.485 0.686 0.799
0.366 0.040 0.325
0.314 0.515 0.201
0.887 0.686 0.201
0.000 0.000 0.000
0.250 0.750 0.500
0.500 0.500 0.000
0.750 0.250 0.500
```

Properties
Spin magnetization (μB per atom): 0.00
Crystal system: tetragonal
DFT total energy (Ry/atom): -0.5115